Entry 1:
Here is a relaxed Li2CrW crystal from Alexandria. Energies are from PBEsol.

POSCAR file:
```
Li2CrW
1.0
5.895 0.000 0.000
0.000 5.895 0.000
0.000 0.000 5.895
Li Cr W
8 4 4
direct
0.250 0.250 0.250 Li
0.250 0.250 0.750 Li
0.250 0.750 0.250 Li
0.250 0.750 0.750 Li
0.750 0.250 0.250 Li
0.750 0.250 0.750 Li
0.750 0.750 0.250 Li
0.750 0.750 0.750 Li
0.000 0.000 0.000 Cr
0.000 0.500 0.500 Cr
0.500 0.000 0.500 Cr
0.500 0.500 0.000 Cr
0.000 0.000 0.500 W
0.000 0.500 0.000 W
0.500 0.000 0.000 W
0.500 0.500 0.500 W
```

Results
ΔE to the lowest computed polymorph, meV/atom: 554
Total magnetization, μB per atom: 0.434
Energy relative to the elements, eV per atom: 1.085
Mass density, Mg/m³: 8.1



Entry 2:
Here is a relaxed MnFePS2 crystal from Alexandria. Energies are from PBEsol.

POSCAR file:
```
MnFePS2
1.0
4.476 0.000 0.000
0.000 4.476 0.000
0.000 0.000 4.271
Mn Fe P S
1 1 1 2
direct
0.000 0.000 0.000 Mn
0.500 0.500 0.500 Fe
0.000 0.000 0.500 P
0.000 0.500 0.000 S
0.500 0.000 0.000 S
```

Results
Formation energy without anion corrections, meV/atom: 658
Total magnetization, μB per atom: 1.210
Mass density, Mg/m³: 4.0



Entry 3:
Here is a relaxed ZnRuSe2 crystal from Alexandria. Energies are from PBEsol.

POSCAR file:
```
ZnRuSe2
1.0
2.958 0.000 0.000
0.000 4.046 0.000
0.000 0.000 11.638
Zn Ru Se
2 2 4
direct
0.000 0.000 0.000 Zn
0.500 0.500 0.500 Zn
0.000 0.500 0.711 Ru
0.500 0.000 0.211 Ru
0.000 0.000 0.381 Se
0.000 0.500 0.155 Se
0.500 0.000 0.655 Se
0.500 0.500 0.881 Se
```

Results
Formation energy without anion corrections, meV/atom: 75
Total magnetization, μB per atom: 0.000
Mass density, Mg/m³: 7.7